First-principles (GGA-PBE) data for a relaxed LiTlGePF crystal, as listed in the Alexandria database.

a = 5.8313 Å, b = 3.5214 Å, c = 6.1446 Å
α = 90.00°, β = 117.54°, γ = 90.00°
Last column: nearest neighbours and their distance in Å.
Space group Pm (No. 6)
One atom of each set of equivalent atoms:
Li 0.0000 0.0000 0.0000 [1 per cell]  2 F 1.88
Tl 0.3605 0.5000 0.6572 [1 per cell]  2 P 3.10, 2 F 3.13-3.35, 1 Ge 3.28
Ge 0.6859 0.5000 0.2587 [1 per cell]  1 F 2.33, 2 P 2.34
P 0.8786 0.0000 0.5350 [1 per cell]  2 Ge 2.34, 1 Li 2.61
F 0.9766 0.5000 0.0957 [1 per cell]  2 Li 1.88

Values from the calculation:
- ΔE_f (raw): -0.910 eV/atom
- DOS(E_F): 0.03 states/eV/atom
- DFT total energy: -4.15 eV/atom

=====

First-principles (GGA-PBE) data for a relaxed LiGePdF6 crystal, as listed in the Alexandria database.

a = 5.2207 Å, b = 5.2207 Å, c = 10.1803 Å
α = 90.00°, β = 90.00°, γ = 120.00°
Last column: nearest neighbours and their distance in Å.
Space group P-31c (No. 163)
One atom of each set of equivalent atoms:
Li 0.3333 0.6667 0.2500 [2 per cell]  6 F 2.07
Ge 0.3333 0.6667 0.7500 [2 per cell]  6 F 1.84
Pd 0.0000 0.0000 0.0000 [2 per cell]  6 F 2.45
F 0.0324 0.3856 0.6481 [12 per cell]  1 Ge 1.84

Values from the calculation:
- ΔE_f (raw): -2.105 eV/atom
- DOS(E_F): 0.62 states/eV/atom
- DFT total energy: -4.65 eV/atom